(1)
This record from Alexandria describes a geometry-optimized LiGaBiOs2 structure. The functional is PBE.

Cell lengths 4.644, 4.644, 5.299 Å; angles 90.00, 90.00, 90.00 degrees
Space group P4/mmm (No. 123)
Inequivalent atoms, fractional coordinates:
Li 0.000 0.000 0.000 (multiplicity 1)
Ga 0.500 0.500 0.500 (multiplicity 1)
Bi 0.500 0.500 0.000 (multiplicity 1)
Os 0.000 0.500 0.500 (multiplicity 2)

Volume: 114 Å³ per cell
E_form: 1.43 eV/atom
E: -0.177 Ha/atom
Theoretical density: 9.68 Mg/m³



(2)
This record from Alexandria describes a geometry-optimized NiIr2Pb structure. The functional is PBE.

Cell lengths 3.014, 3.516, 6.092 Å; angles 90.00, 90.00, 90.00 degrees
Space group Pmmm (No. 47)
Inequivalent atoms, fractional coordinates:
Ni 0.000 0.000 0.000 (multiplicity 1)
Ir 0.500 0.500 0.214 (multiplicity 2)
Pb 0.000 0.000 0.500 (multiplicity 1)

Volume: 65 Å³ per cell
E_form: 0.45 eV/atom
E: -0.233 Ha/atom
Theoretical density: 16.73 Mg/m³